Hg3Te5Au12: relaxed, GGA-PBE.

Cell and atoms, written as extended XYZ:
```
80
Lattice="-13.330 4.248 -1.004 1.036 -13.247 -4.494 4.147 0.737 13.380" Properties=species:S:1:pos:R:3 pbc="T T T"
Te -6.665 2.124 -0.502
Te -0.352 -3.445 6.426
Te 0.518 -6.624 -2.247
Te -3.925 -6.635 7.710
Te 2.074 0.368 6.690
Te 0.000 0.000 0.000
Te -8.813 0.866 6.360
Te 0.666 -9.128 1.522
Te 2.592 -6.255 4.443
Te -6.147 -4.499 -2.749
Te -4.221 -1.627 0.173
Te -4.592 2.493 6.188
Te -0.241 -4.252 1.534
Te -1.907 -10.437 -2.510
Te -7.906 -4.009 6.348
Te -1.759 0.490 9.097
Te -7.795 -4.817 1.456
Te -6.388 -8.752 -1.214
Te -4.073 -4.131 3.941
Te -6.239 2.175 10.392
Au -4.123 1.143 3.792
Au -3.892 -1.558 2.880
Au 1.148 -9.456 8.381
Au -11.161 -3.607 -1.370
Au -4.255 -6.704 5.003
Au 2.804 -7.756 6.785
Au -9.468 3.310 7.380
Au -10.951 -0.506 1.098
Au -2.171 -5.769 2.725
Au 0.489 -11.710 -2.232
Au -4.024 -9.405 4.090
Au -8.359 -2.203 1.996
Au -6.947 -3.411 8.830
Au -1.438 -7.738 7.509
Au 0.943 0.142 9.230
Au -8.636 3.448 10.114
Au -9.295 1.194 -0.499
Au -1.200 -4.851 -0.948
Au -5.136 -8.511 1.197
Au -6.113 -0.520 9.992
Au 0.890 -1.493 4.982
Au -2.812 -2.458 5.783
Au 3.015 -4.655 9.252
Au -3.923 -3.999 -1.141
Au -6.708 -0.524 0.373
Au -6.181 0.203 6.091
Au 0.213 -6.058 5.886
Au -9.090 -8.404 -1.348
Au 0.301 -3.771 9.055
Au -9.932 -8.573 -4.076
Au -5.976 -2.493 5.157
Au -3.011 0.249 6.685
Au -1.966 -8.464 1.792
Au -8.174 -6.626 5.623
Au -4.751 -6.879 -2.334
Au -9.037 -6.769 2.900
Au -8.448 -4.491 -1.172
Au 1.141 -8.620 4.160
Au -4.223 -4.263 9.023
Au 1.321 -11.572 0.502
Au -9.287 0.358 3.723
Au -2.033 -7.742 -2.110
Au 1.785 0.311 11.958
Au 0.027 -1.636 2.259
Au -7.611 2.033 2.121
Au -0.536 -10.295 5.761
Au -5.335 -5.804 2.100
Au -3.395 -1.383 10.216
Hg -3.314 -6.502 0.160
Hg -6.517 -0.380 3.266
Hg -10.498 2.246 1.905
Hg -9.091 -1.689 -0.766
Hg -4.832 -1.760 7.722
Hg -10.368 -6.126 -2.576
Hg -1.630 -7.882 4.616
Hg 2.222 -2.136 10.458
Hg 2.351 -10.508 5.977
Hg -1.648 -0.317 4.205
Hg 0.944 -6.573 8.648
Hg -6.499 -7.944 3.677
```

Summary:
E_form (uncorrected) in eV per atom: 0.0979
Space group: No. 230

---

HgH3Cl: relaxed, GGA-PBE.

Cell and atoms, written as extended XYZ:
```
5
Lattice="3.894 0.000 0.000 0.000 3.894 0.000 0.000 0.000 3.894" Properties=species:S:1:pos:R:3 pbc="T T T"
H 1.947 0.000 0.000
H 0.000 0.000 1.947
H 0.000 1.947 0.000
Cl 0.000 0.000 0.000
Hg 1.947 1.947 1.947
```

Summary:
Energy relative to the lowest polymorph listed for this composition in meV per atom: 287.1
Space group: No. 221

---

K3Sm2SbTe6: relaxed, GGA-PBE.

Cell and atoms, written as extended XYZ:
```
12
Lattice="-4.984 -6.142 -0.248 7.121 -0.816 3.354 -3.869 4.590 6.216" Properties=species:S:1:pos:R:3 pbc="T T T"
Te -3.407 -2.575 6.707
Te -2.294 -1.539 1.435
Te 0.562 -0.829 7.888
Te 1.675 0.208 2.616
Te -2.509 1.836 5.717
Te 0.777 -4.204 3.606
Sm -0.947 -4.366 0.954
Sm 3.084 -2.592 2.153
Sb 0.000 0.000 0.000
K -0.866 -1.184 4.662
K -4.898 -2.958 3.462
K 3.165 0.590 5.861
```

Summary:
E_form (uncorrected) in eV per atom: -1.1132
Space group: No. 12

---

ScIBr3: relaxed, GGA-PBE.

Cell and atoms, written as extended XYZ:
```
20
Lattice="-5.369 -13.485 -4.596 3.098 -4.215 -8.509 9.792 1.967 0.046" Properties=species:S:1:pos:R:3 pbc="T T T"
Br -2.422 -11.340 -4.559
Br -2.552 -14.886 -9.815
Br 4.827 -0.954 -2.390
Br 3.220 -5.114 -4.203
Br 7.491 -5.752 -5.874
Br 9.944 -4.392 -8.500
Br 4.302 -10.619 -8.856
Br 7.915 -8.478 -10.035
Br 0.031 -9.980 -7.185
Br -0.393 -7.254 -3.023
Br 2.695 -14.778 -10.668
Br 10.073 -0.846 -3.243
Sc 2.945 -2.758 -2.905
Sc 8.115 -6.381 -8.416
Sc -0.593 -9.351 -4.642
Sc 4.576 -12.974 -10.153
I 1.613 -5.724 -6.326
I 5.909 -10.009 -6.733
I 2.301 -9.380 -4.363
I 5.221 -6.353 -8.695
```

Summary:
E_form (uncorrected) in eV per atom: -1.2347
Energy relative to the lowest polymorph listed for this composition in meV per atom: 102.7
Space group: No. 15

---

SmH2Cl6: relaxed, GGA-PBE.

Cell and atoms, written as extended XYZ:
```
18
Lattice="-5.361 -1.525 -1.518 -2.942 -2.309 8.961 -4.167 8.396 2.534" Properties=species:S:1:pos:R:3 pbc="T T T"
H -6.323 4.576 5.862
H -8.707 1.221 6.660
H -3.763 3.342 3.317
H -6.146 -0.014 4.115
Cl -6.115 3.322 6.736
Cl -6.354 1.240 3.240
Cl -8.800 2.592 5.958
Cl -9.753 3.787 9.720
Cl -2.717 0.776 0.256
Cl -6.703 5.870 5.046
Cl -5.766 -1.308 4.931
Cl -8.782 -0.146 7.441
Cl -3.687 4.708 2.535
Cl -5.242 -1.345 0.313
Cl -7.228 5.907 9.664
Cl -3.670 1.970 4.019
Sm -7.099 -2.261 7.107
Sm -5.371 6.824 2.870
```

Summary:
Space group: No. 15

---

KSrAs2: relaxed, GGA-PBE.

Cell and atoms, written as extended XYZ:
```
4
Lattice="5.767 0.046 0.059 3.974 4.179 0.059 3.384 1.468 5.999" Properties=species:S:1:pos:R:3 pbc="T T T"
As 6.036 2.618 2.174
As 0.527 0.229 0.884
Sr 3.281 1.423 1.529
K 9.844 4.270 4.587
```

Summary:
ΔH_f (0 K) in eV per atom: -0.572
Energy relative to the lowest polymorph listed for this composition in meV per atom: 133.8
Space group: No. 12

---

SbTe2H: relaxed, GGA-PBE.

Cell and atoms, written as extended XYZ:
```
4
Lattice="8.504 -5.543 1.860 7.855 -6.582 -1.219 9.571 -3.788 -0.741" Properties=species:S:1:pos:R:3 pbc="T T T"
Sb 12.965 -7.956 -0.050
H 0.000 0.000 0.000
Te 1.702 -1.045 -0.007
Te 24.228 -14.868 -0.094
```

Summary:
Energy relative to the lowest polymorph listed for this composition in meV per atom: 338.4
Space group: No. 166

---

Pa2SnS5: relaxed, GGA-PBE.

Cell and atoms, written as extended XYZ:
```
16
Lattice="3.839 0.000 0.000 0.000 7.508 0.000 0.000 0.000 12.024" Properties=species:S:1:pos:R:3 pbc="T T T"
S 0.000 6.118 2.394
S 0.000 5.145 8.406
S 1.919 1.255 1.394
S 1.919 6.254 10.631
S 0.000 1.391 9.631
S 1.919 2.500 7.406
S 0.000 0.000 6.012
S 0.000 3.754 0.000
S 0.000 2.364 3.618
S 1.919 5.009 4.619
Sn 0.000 0.000 0.000
Sn 0.000 3.754 6.012
Pa 1.919 0.132 3.890
Pa 1.919 3.886 2.123
Pa 1.919 7.376 8.135
Pa 1.919 3.622 9.902
```

Summary:
E_form (uncorrected) in eV per atom: -1.2540
Space group: No. 55

---

Rb2BeCrI6: relaxed, GGA-PBE.

Cell and atoms, written as extended XYZ:
```
10
Lattice="-5.338 5.360 4.244 -2.001 -6.373 5.533 0.522 1.049 8.196" Properties=species:S:1:pos:R:3 pbc="T T T"
Cr 0.000 0.000 0.000
Rb -4.243 2.951 8.664
Rb -2.574 -2.915 9.309
I -4.832 -0.082 11.756
I -2.745 -3.759 5.246
I -4.595 2.746 4.531
I -1.636 -0.226 2.179
I -1.986 0.118 6.217
I -5.704 -0.787 7.598
Be -3.670 -0.507 4.888
```

Summary:
E_form (uncorrected) in eV per atom: -0.7268
Space group: No. 139

---

Zn2InAs: relaxed, GGA-PBE.

Cell and atoms, written as extended XYZ:
```
4
Lattice="-0.783 -1.742 -3.810 -3.126 -2.283 1.686 -3.898 2.772 -0.466" Properties=species:S:1:pos:R:3 pbc="T T T"
In -5.655 -0.559 -0.966
As -3.211 0.290 0.527
Zn -0.268 0.096 0.011
Zn -2.184 -0.836 -1.553
```

Summary:
ΔH_f (0 K) in eV per atom: 0.104
Space group: No. 6

---

V3Ga: relaxed, GGA-PBE.

Cell and atoms, written as extended XYZ:
```
4
Lattice="2.555 0.000 0.000 0.000 4.893 0.000 -1.277 -2.447 4.428" Properties=species:S:1:pos:R:3 pbc="T T T"
Ga 0.000 0.096 0.000
V 0.000 1.528 2.241
V 1.277 -0.919 2.187
V 1.277 2.557 0.000
```

Summary:
ΔH_f (0 K) in eV per atom: -0.018
Space group: No. 44

---

MgNi4Sb2: relaxed, GGA-PBE.

Cell and atoms, written as extended XYZ:
```
7
Lattice="-1.410 -3.328 2.406 -0.598 -2.351 -3.601 5.066 -5.081 -0.142" Properties=species:S:1:pos:R:3 pbc="T T T"
Ni 2.825 -4.254 -0.310
Ni -0.299 -1.175 -1.801
Ni 0.233 -6.506 -1.027
Ni -0.705 -1.664 1.203
Mg 0.000 0.000 0.000
Sb 2.513 -7.349 -0.856
Sb 0.545 -3.411 -0.481
```

Summary:
E_form (uncorrected) in eV per atom: 0.4963
Space group: No. 139

---

Number 1: raw total energy -2.6992 eV/atom. Number 2: raw total energy -1.5488 eV/atom. Number 3: raw total energy -4.0885 eV/atom. Number 4: raw total energy -3.8147 eV/atom. Number 5: raw total energy -3.5994 eV/atom. Number 6: raw total energy -3.5915 eV/atom. Number 7: raw total energy -3.0545 eV/atom. Number 8: raw total energy -6.7079 eV/atom. Number 9: raw total energy -3.1854 eV/atom. Number 10: raw total energy -2.3802 eV/atom. Number 11: raw total energy -7.6132 eV/atom. Number 12: raw total energy -4.2129 eV/atom.